# Zr2CrB2, relaxed, DFT PBE
# Density of states at the Fermi level = 7.02 states/eV per cell
# Mass density = 6.44 g/cm³
# Energy = -8.49 eV per atom
# Total magnetization = 1.96 μB/cell
# Symmetry = No. 127
# Volume = 132.1 Å³ per cell
data_Zr2CrB2
_symmetry_space_group_name_H-M 'P 1'
_symmetry_Int_Tables_number 1
_cell_length_a 6.2140
_cell_length_b 6.2140
_cell_length_c 3.4220
_cell_angle_alpha 90.00
_cell_angle_beta 90.00
_cell_angle_gamma 90.00
loop_
_symmetry_equiv_pos_as_xyz
'x,y,z'
loop_
_atom_site_label
_atom_site_type_symbol
_atom_site_fract_x
_atom_site_fract_y
_atom_site_fract_z
Zr1 Zr 0.1845 0.3155 0.0000
Zr2 Zr 0.3155 0.8155 0.0000
Zr3 Zr 0.6845 0.1845 0.0000
Zr4 Zr 0.8155 0.6845 0.0000
Cr1 Cr 0.0000 0.0000 0.5000
Cr2 Cr 0.5000 0.5000 0.5000
B1 B 0.1033 0.6033 0.5000
B2 B 0.3967 0.1033 0.5000
B3 B 0.6033 0.8967 0.5000
B4 B 0.8967 0.3967 0.5000